A plane-wave DFT calculation with PBE-GGA was carried out for an optimized crystal structure of TaAl2Cu.

Calculated values
Fermi-level density of states   1.63 states/eV/f.u.
ρ   7.9 Mg/m³
DFT total energy   -23.9 eV/f.u.
Symmetry   P2/m, No. 10
Formation energy from the elements   -0.120 eV per atom

Unit cell a=2.8573 b=4.0997 c=5.3968 alpha=90.00 beta=95.12 gamma=90.00
With the nearest neighbours (Å) after each atom.
Fractional positions:
Ta  0.0000  0.0000  0.0000  8 Al 2.81-2.87, 2 Ta 2.86, 2 Cu 2.94
Al  0.4381  0.5000  0.7497  2 Cu 2.47, 2 Al 2.69-2.75
Al  0.5619  0.5000  0.2503  2 Cu 2.47, 2 Al 2.69-2.75
Cu  0.5000  0.0000  0.5000  4 Al 2.47